## Ho6TlCd (PBE)

Data for a relaxed Ho6TlCd crystal.

The total moment is 0.060 μB per atom. As for the density of states at the Fermi level: 24.0 states/eV/cell. The calculated volume comes out at 31.61 Å³/atom. The value obtained for the energy above the lowest structure with this stoichiometry is 0.3109 eV/atom. As for the energy of formation: 154 meV per atom.

The structure belongs to space group C2/m (No. 12); the cell edges are 6.913, 12.059 and 6.926 Å and the angles 90.00°, 118.83° and 90.00°. The asymmetric unit holds Ho at (0.244, 0.210, 0.249), Ho at (0.245, 0.000, 0.753), Tl at (0.000, 0.500, 0.500) and Cd at (0.000, 0.000, 0.000).